Record 1
! PBE-GGA NaSnOF2, relaxed; values from VASP
! Total magnetization   0.200 μB/atom
! Offset from the most stable computed form   612 meV per atom
! Formation energy without anion corrections   -6.8 eV per formula unit
! Total DFT energy (no corrections)   -4.161 eV/atom
&SYSTEM
  ibrav = 0, nat = 5, ntyp = 4
/
ATOMIC_SPECIES
Na 22.99 Na.upf
O 16.00 O.upf
Sn 118.71 Sn.upf
F 19.00 F.upf
CELL_PARAMETERS angstrom
4.077 0.000 0.000
0.000 4.077 0.000
0.000 0.000 4.335
ATOMIC_POSITIONS crystal
Na 0.000 0.000 0.000
O 0.000 0.000 0.500
Sn 0.500 0.500 0.500
F 0.500 0.000 0.000
F 0.000 0.500 0.000


Record 2
! PBE-GGA RbIr3O, relaxed; values from VASP
! Total magnetization   1.148 μB/atom
! Offset from the most stable computed form   2497 meV per atom
! Formation energy without anion corrections   19.3 eV per formula unit
! Total DFT energy (no corrections)   -2.646 eV/atom
&SYSTEM
  ibrav = 0, nat = 5, ntyp = 3
/
ATOMIC_SPECIES
Ir 192.22 Ir.upf
Rb 85.47 Rb.upf
O 16.00 O.upf
CELL_PARAMETERS angstrom
5.012 0.000 0.000
0.000 5.012 0.000
0.000 0.000 5.012
ATOMIC_POSITIONS crystal
Ir 0.000 0.500 0.000
Rb 0.000 0.000 0.000
O 0.500 0.500 0.500
Ir 0.500 0.000 0.000
Ir 0.000 0.000 0.500


Record 3
! PBE-GGA In2GeRhI, relaxed; values from VASP
! Total magnetization   0.000 μB/atom
! Formation energy without anion corrections   -1.6 eV per formula unit
! Total DFT energy (no corrections)   -4.111 eV/atom
&SYSTEM
  ibrav = 0, nat = 5, ntyp = 4
/
ATOMIC_SPECIES
Ge 72.64 Ge.upf
I 126.90 I.upf
In 114.82 In.upf
Rh 102.91 Rh.upf
CELL_PARAMETERS angstrom
5.345 0.000 0.000
0.000 5.345 0.000
0.000 0.000 4.709
ATOMIC_POSITIONS crystal
Ge 0.000 0.000 0.500
I 0.500 0.500 0.500
In 0.000 0.500 0.000
Rh 0.000 0.000 0.000
In 0.500 0.000 0.000


Record 4
! PBE-GGA Li2YLu, relaxed; values from VASP
! Total magnetization   0.000 μB/atom
! Total DFT energy (no corrections)   -3.555 eV/atom
! DFT formation energy   148 meV per atom
&SYSTEM
  ibrav = 0, nat = 4, ntyp = 3
/
ATOMIC_SPECIES
Li 6.94 Li.upf
Y 88.91 Y.upf
Lu 174.97 Lu.upf
CELL_PARAMETERS angstrom
-0.921 0.060 3.559
3.215 -1.565 0.858
3.054 6.645 0.678
ATOMIC_POSITIONS crystal
Li 0.000 0.000 0.755
Li 0.000 0.000 0.245
Y 0.500 0.500 0.500
Lu 0.500 0.500 0.000


Record 5
! PBE-GGA CrCoTeN2, relaxed; values from VASP
! Total magnetization   0.198 μB/atom
! Offset from the most stable computed form   370 meV per atom
! Formation energy without anion corrections   5.4 eV per formula unit
! Total DFT energy (no corrections)   -6.223 eV/atom
&SYSTEM
  ibrav = 0, nat = 5, ntyp = 4
/
ATOMIC_SPECIES
Cr 52.00 Cr.upf
N 14.01 N.upf
Te 127.60 Te.upf
Co 58.93 Co.upf
CELL_PARAMETERS angstrom
-1.246 -1.488 3.225
-0.886 -3.179 -1.809
4.866 -1.921 0.993
ATOMIC_POSITIONS crystal
Cr 0.500 0.500 0.500
N 0.500 0.000 0.000
Te 0.000 0.000 0.500
N 0.000 0.500 0.000
Co 0.000 0.000 0.000


Record 6
! PBE-GGA BeTePt3, relaxed; values from VASP
! Total magnetization   0.000 μB/atom
! Offset from the most stable computed form   1140 meV per atom
! Formation energy without anion corrections   5.9 eV per formula unit
! Total DFT energy (no corrections)   -3.825 eV/atom
&SYSTEM
  ibrav = 0, nat = 5, ntyp = 3
/
ATOMIC_SPECIES
Te 127.60 Te.upf
Be 9.01 Be.upf
Pt 195.08 Pt.upf
CELL_PARAMETERS angstrom
4.935 0.000 0.000
0.000 4.935 0.000
0.000 0.000 4.935
ATOMIC_POSITIONS crystal
Te 0.000 0.000 0.000
Be 0.500 0.500 0.500
Pt 0.500 0.000 0.000
Pt 0.000 0.000 0.500
Pt 0.000 0.500 0.000


Record 7
! PBE-GGA CdW2, relaxed; values from VASP
! Total magnetization   0.000 μB/atom
! Offset from the most stable computed form   66 meV per atom
! Total DFT energy (no corrections)   -8.393 eV/atom
! DFT formation energy   547 meV per atom
&SYSTEM
  ibrav = 0, nat = 3, ntyp = 2
/
ATOMIC_SPECIES
W 183.84 W.upf
Cd 112.41 Cd.upf
CELL_PARAMETERS angstrom
3.737 -2.647 -2.762
4.110 -2.820 1.938
-5.270 0.797 0.448
ATOMIC_POSITIONS crystal
W 0.687 0.687 0.000
W 0.313 0.313 0.000
Cd 0.000 0.000 0.000


Record 8
! PBE-GGA PmTm5Cd3, relaxed; values from VASP
! Total magnetization   0.000 μB/atom
! Total DFT energy (no corrections)   -3.490 eV/atom
! DFT formation energy   -173 meV per atom
&SYSTEM
  ibrav = 0, nat = 18, ntyp = 3
/
ATOMIC_SPECIES
Tm 168.93 Tm.upf
Pm 145.00 Pm.upf
Cd 112.41 Cd.upf
CELL_PARAMETERS angstrom
-3.998 4.733 3.010
0.473 -4.591 7.848
6.171 6.420 -1.897
ATOMIC_POSITIONS crystal
Tm 0.250 0.000 0.665
Tm 0.250 0.335 0.335
Pm 0.000 0.000 0.000
Cd 0.250 0.664 0.664
Cd 0.250 0.336 0.000
Tm 0.000 0.333 0.667
Tm 0.750 0.000 0.335
Tm 0.500 0.333 0.667
Tm 0.500 0.667 0.333
Cd 0.750 0.336 0.336
Pm 0.500 0.000 0.000
Tm 0.000 0.667 0.333
Tm 0.750 0.665 0.665
Tm 0.250 0.665 0.000
Tm 0.750 0.335 0.000
Cd 0.750 0.000 0.664
Cd 0.250 0.000 0.336
Cd 0.750 0.664 0.000


Question: total magnetization of number 5 (CrCoTeN2)?
Answer: 0.198 μB/atom